First-principles (PBE) data for a geometry-optimized LaP2Ru structure, as listed in the Alexandria database.

a b c (Å): 3.436 3.511 12.726
angles (deg): 90.00 90.00 90.00
Sites, in units of the cell vectors:
La (0.000, 0.000, 0.000)
La (0.500, 0.500, 0.500)
P (0.000, 0.000, 0.372)
P (0.000, 0.500, 0.686)
P (0.500, 0.000, 0.186)
P (0.500, 0.500, 0.872)
Ru (0.000, 0.500, 0.254)
Ru (0.500, 0.000, 0.754)

SG   Imm2, No. 44
Energy   -6.8555 eV/atom
Energy above the lowest structure with this stoichiometry   387 meV/atom